1.
DFT (GGA-PBEsol) results for CuH2Pd2 after structural relaxation. Values from VASP.

The structure in Quantum ESPRESSO input format:
```
&SYSTEM
  ibrav = 0, nat = 5, ntyp = 3
/
ATOMIC_SPECIES
Cu 63.55 Cu.upf
H 1.01 H.upf
Pd 106.42 Pd.upf
ATOMIC_POSITIONS crystal
Cu 0.000 0.000 0.000
H 0.750 0.250 0.500
H 0.250 0.750 0.500
Pd 0.354 0.354 0.709
Pd 0.646 0.646 0.291
CELL_PARAMETERS angstrom
-0.035 1.543 -2.572
2.399 -1.530 -0.950
-4.309 -3.598 -0.351
```

Results
Crystal system: tetragonal
DFT total energy, eV per atom: -4.68
Spin magnetization, μB per cell: 0.0

2.
DFT (GGA-PBEsol) results for Ca2AgSb after structural relaxation. Values from VASP.

The structure in Quantum ESPRESSO input format:
```
&SYSTEM
  ibrav = 0, nat = 4, ntyp = 3
/
ATOMIC_SPECIES
Ca 40.08 Ca.upf
Sb 121.76 Sb.upf
Ag 107.87 Ag.upf
ATOMIC_POSITIONS crystal
Ca 0.761 0.261 0.522
Ca 0.988 0.988 0.976
Sb 0.527 0.527 0.054
Ag 0.224 0.724 0.448
CELL_PARAMETERS angstrom
-0.760 -3.331 2.419
4.160 -1.777 -1.139
0.501 5.056 3.497
```

Results
Crystal system: orthorhombic
E_form (uncorrected), eV per atom: -0.526
Spin magnetization, μB per cell: 0.0

3.
DFT (GGA-PBEsol) results for Na7V2O6 after structural relaxation. Values from VASP.

The structure in Quantum ESPRESSO input format:
```
&SYSTEM
  ibrav = 0, nat = 30, ntyp = 3
/
ATOMIC_SPECIES
O 16.00 O.upf
Na 22.99 Na.upf
V 50.94 V.upf
ATOMIC_POSITIONS crystal
O 0.399 0.250 0.190
O 0.853 0.175 0.375
O 0.147 0.825 0.625
O 0.851 0.250 0.690
O 0.601 0.750 0.810
O 0.678 0.825 0.125
O 0.149 0.750 0.310
O 0.664 0.649 0.419
O 0.322 0.175 0.875
O 0.336 0.351 0.581
O 0.016 0.351 0.081
O 0.984 0.649 0.919
Na 0.912 0.000 0.750
Na 0.583 0.878 0.355
Na 0.753 0.346 0.907
Na 0.088 0.000 0.250
Na 0.705 0.122 0.145
Na 0.734 0.551 0.188
Na 0.817 0.551 0.688
Na 0.247 0.654 0.093
Na 0.417 0.122 0.645
Na 0.593 0.346 0.407
Na 0.295 0.878 0.855
Na 0.183 0.449 0.312
Na 0.266 0.449 0.812
Na 0.407 0.654 0.593
V 0.995 0.753 0.462
V 0.759 0.753 0.962
V 0.241 0.247 0.038
V 0.005 0.247 0.538
CELL_PARAMETERS angstrom
5.701 0.000 0.000
-2.850 7.800 0.052
0.000 -2.688 9.943
```

Results
Crystal system: monoclinic
E_form (uncorrected), eV per atom: -1.589
Spin magnetization, μB per cell: 3.8

4.
DFT (GGA-PBEsol) results for CsReNO2 after structural relaxation. Values from VASP.

The structure in Quantum ESPRESSO input format:
```
&SYSTEM
  ibrav = 0, nat = 5, ntyp = 4
/
ATOMIC_SPECIES
O 16.00 O.upf
Cs 132.91 Cs.upf
Re 186.21 Re.upf
N 14.01 N.upf
ATOMIC_POSITIONS crystal
O 0.000 0.000 0.500
O 0.000 0.500 0.000
Cs 0.500 0.500 0.500
Re 0.000 0.000 0.000
N 0.500 0.000 0.000
CELL_PARAMETERS angstrom
-3.296 -2.151 -0.342
0.053 -0.715 3.981
-2.229 3.317 0.625
```

Results
Crystal system: tetragonal
E_form (uncorrected), eV per atom: -0.892
Spin magnetization, μB per cell: 0.0

5.
DFT (GGA-PBEsol) results for Ca2AgI after structural relaxation. Values from VASP.

The structure in Quantum ESPRESSO input format:
```
&SYSTEM
  ibrav = 0, nat = 4, ntyp = 3
/
ATOMIC_SPECIES
I 126.90 I.upf
Ca 40.08 Ca.upf
Ag 107.87 Ag.upf
ATOMIC_POSITIONS crystal
I 0.500 0.500 0.500
Ca 0.750 0.750 0.750
Ca 0.250 0.250 0.250
Ag 0.000 0.000 0.000
CELL_PARAMETERS angstrom
5.411 0.000 0.000
2.705 4.686 0.000
2.705 1.562 4.418
```

Results
Crystal system: cubic
E_form (uncorrected), eV per atom: -0.435
Spin magnetization, μB per cell: 0.0

6.
DFT (GGA-PBEsol) results for Si3AgAs after structural relaxation. Values from VASP.

The structure in Quantum ESPRESSO input format:
```
&SYSTEM
  ibrav = 0, nat = 5, ntyp = 3
/
ATOMIC_SPECIES
Si 28.09 Si.upf
As 74.92 As.upf
Ag 107.87 Ag.upf
ATOMIC_POSITIONS crystal
Si 0.500 0.000 0.000
Si 0.000 0.500 0.000
Si 0.000 0.000 0.500
As 0.500 0.500 0.500
Ag 0.000 0.000 0.000
CELL_PARAMETERS angstrom
-1.996 4.032 1.475
-0.237 -1.728 4.401
4.287 1.781 0.930
```

Results
Crystal system: cubic
E_form (uncorrected), eV per atom: 1.069
Spin magnetization, μB per cell: 0.0

7.
DFT (GGA-PBEsol) results for TlNiTe after structural relaxation. Values from VASP.

The structure in Quantum ESPRESSO input format:
```
&SYSTEM
  ibrav = 0, nat = 3, ntyp = 3
/
ATOMIC_SPECIES
Tl 204.38 Tl.upf
Te 127.60 Te.upf
Ni 58.69 Ni.upf
ATOMIC_POSITIONS crystal
Tl 0.642 0.642 0.284
Te 0.384 0.384 0.768
Ni 0.974 0.974 0.947
CELL_PARAMETERS angstrom
-1.630 0.052 2.812
-2.573 -1.343 -1.463
4.345 -5.184 0.733
```

Results
Crystal system: tetragonal
E_form (uncorrected), eV per atom: 0.073
Spin magnetization, μB per cell: 0.0

8.
DFT (GGA-PBEsol) results for EuAlO3 after structural relaxation. Values from VASP.

The structure in Quantum ESPRESSO input format:
```
&SYSTEM
  ibrav = 0, nat = 5, ntyp = 3
/
ATOMIC_SPECIES
Eu 151.96 Eu.upf
O 16.00 O.upf
Al 26.98 Al.upf
ATOMIC_POSITIONS crystal
Eu 0.500 0.500 0.500
O 0.000 0.000 0.500
O 0.000 0.500 0.000
O 0.500 0.000 0.000
Al 0.000 0.000 0.000
CELL_PARAMETERS angstrom
3.721 0.000 0.000
0.000 3.721 0.000
0.000 0.000 3.721
```

Results
Crystal system: cubic
E_form (uncorrected), eV per atom: -3.025
Spin magnetization, μB per cell: 6.0

9.
DFT (GGA-PBEsol) results for LaIO2 after structural relaxation. Values from VASP.

The structure in Quantum ESPRESSO input format:
```
&SYSTEM
  ibrav = 0, nat = 4, ntyp = 3
/
ATOMIC_SPECIES
O 16.00 O.upf
I 126.90 I.upf
La 138.91 La.upf
ATOMIC_POSITIONS crystal
O 0.118 0.118 0.646
O 0.882 0.882 0.354
I 0.000 0.000 0.000
La 0.500 0.500 0.500
CELL_PARAMETERS angstrom
-0.351 -2.409 -3.096
3.162 -1.889 -1.394
-0.214 -6.181 2.327
```

Results
Crystal system: trigonal
E_form (uncorrected), eV per atom: -2.184
Spin magnetization, μB per cell: 0.0

10.
DFT (GGA-PBEsol) results for Cu3Pt2 after structural relaxation. Values from VASP.

The structure in Quantum ESPRESSO input format:
```
&SYSTEM
  ibrav = 0, nat = 10, ntyp = 2
/
ATOMIC_SPECIES
Pt 195.08 Pt.upf
Cu 63.55 Cu.upf
ATOMIC_POSITIONS crystal
Pt 0.000 0.895 0.215
Pt 0.500 0.785 0.895
Pt 0.500 0.215 0.105
Pt 0.000 0.105 0.785
Cu 0.500 0.603 0.313
Cu 0.000 0.687 0.603
Cu 0.500 0.000 0.500
Cu 0.500 0.397 0.687
Cu 0.000 0.313 0.397
Cu 0.000 0.500 0.000
CELL_PARAMETERS angstrom
3.821 0.000 0.000
0.000 5.805 0.000
0.000 0.000 5.805
```

Results
Formation enthalpy at 0 K, eV/atom: -0.0940
Crystal system: tetragonal
ΔE to the lowest computed polymorph, meV per atom: 20
Spin magnetization, μB per cell: 0.0

11.
DFT (GGA-PBEsol) results for ZnCdCu2 after structural relaxation. Values from VASP.

The structure in Quantum ESPRESSO input format:
```
&SYSTEM
  ibrav = 0, nat = 4, ntyp = 3
/
ATOMIC_SPECIES
Zn 65.41 Zn.upf
Cu 63.55 Cu.upf
Cd 112.41 Cd.upf
ATOMIC_POSITIONS crystal
Zn 0.000 0.000 0.456
Cu 0.000 0.000 0.038
Cu 0.500 0.500 0.242
Cd 0.500 0.500 0.765
CELL_PARAMETERS angstrom
2.943 0.000 0.000
0.000 2.943 0.000
0.000 0.000 6.472
```

Results
Formation enthalpy at 0 K, eV/atom: 0.0106
Crystal system: tetragonal
Spin magnetization, μB per cell: 0.0

12.
DFT (GGA-PBEsol) results for LaZr2Ga2 after structural relaxation. Values from VASP.

The structure in Quantum ESPRESSO input format:
```
&SYSTEM
  ibrav = 0, nat = 5, ntyp = 3
/
ATOMIC_SPECIES
Ga 69.72 Ga.upf
Zr 91.22 Zr.upf
La 138.91 La.upf
ATOMIC_POSITIONS crystal
Ga 0.600 0.600 0.201
Ga 0.400 0.400 0.799
Zr 0.750 0.250 0.500
Zr 0.250 0.750 0.500
La 0.000 0.000 0.000
CELL_PARAMETERS angstrom
4.263 0.000 0.000
0.000 4.263 0.000
-2.131 -2.131 6.256
```

Results
Formation enthalpy at 0 K, eV/atom: -0.4468
Crystal system: tetragonal
Spin magnetization, μB per cell: 0.0